# 1
La2GaP2 | SCAN | single point on PBEsol structure

Symmetry   P4/mbm
Formation energy from the elements   -1190 meV per atom
VASP energy   -25.86 eV/atom

a b c (Å): 3.9152 7.6798 7.6798
angles (deg): 90.00 90.00 90.00
Positions (direct):
La 0.5000 0.1533 0.6533
La 0.5000 0.8467 0.3467
La 0.5000 0.3467 0.1533
La 0.5000 0.6533 0.8467
P 0.0000 0.3452 0.8452
P 0.0000 0.1548 0.3452
P 0.0000 0.8452 0.6548
P 0.0000 0.6548 0.1548
Ga 0.0000 0.5000 0.5000
Ga 0.0000 0.0000 0.0000

***

# 2
LaGa2P2 | SCAN | single point on PBEsol structure

Symmetry   I4/mmm
Formation energy from the elements   -624 meV per atom
VASP energy   -19.94 eV/atom

a b c (Å): 4.7423 5.4521 4.7423
angles (deg): 64.22 90.00 115.78
Positions (direct):
Ga 0.3536 0.7072 0.6464
Ga 0.6464 0.2928 0.3536
P 0.7500 0.5000 0.7500
P 0.2500 0.5000 0.2500
La 0.0000 0.0000 0.0000

***

# 3
LaGaPS2 | SCAN | single point on PBEsol structure

Symmetry   P4/mmm
Raw formation energy   -1.28 kcal/mol of atoms
VASP energy   -17.88 eV/atom

a b c (Å): 5.4330 5.4330 5.5681
angles (deg): 90.00 90.00 90.00
Last column: magnetic moment on the atom in μB.
Positions (direct):
S 0.5000 0.0000 0.0000  0.32
S 0.0000 0.5000 0.0000  0.32
La 0.0000 0.0000 0.0000  0.07
P 0.0000 0.0000 0.5000  0.82
Ga 0.5000 0.5000 0.5000  0.01

***

# 4
La2Ga2Pb | SCAN | single point on PBEsol structure

Symmetry   P4/mbm
Formation energy from the elements   -759 meV per atom
VASP energy   -39.70 eV/atom

a b c (Å): 4.5786 7.5421 7.5421
angles (deg): 90.00 90.00 90.00
Positions (direct):
Pb 0.0000 0.5000 0.5000
Pb 0.0000 0.0000 0.0000
La 0.5000 0.8268 0.3268
La 0.5000 0.3268 0.1732
La 0.5000 0.1732 0.6732
La 0.5000 0.6732 0.8268
Ga 0.0000 0.8795 0.6205
Ga 0.0000 0.1205 0.3795
Ga 0.0000 0.6205 0.1205
Ga 0.0000 0.3795 0.8795

***

# 5
LaGa2Pd2 | SCAN | single point on PBEsol structure

Symmetry   P4/nmm
Formation energy from the elements   -926 meV per atom
Offset from the most stable computed form   0 meV per atom
VASP energy   -29.20 eV/atom

a b c (Å): 4.3660 4.3660 9.9843
angles (deg): 90.00 90.00 90.00
Positions (direct):
La 0.5000 0.0000 0.7499
La 0.0000 0.5000 0.2501
Pd 0.5000 0.5000 0.0000
Pd 0.0000 0.0000 0.0000
Pd 0.5000 0.0000 0.3717
Pd 0.0000 0.5000 0.6283
Ga 0.0000 0.0000 0.5000
Ga 0.5000 0.5000 0.5000
Ga 0.5000 0.0000 0.1247
Ga 0.0000 0.5000 0.8753

***

# 6
LaGa6Pd | SCAN | single point on PBEsol structure

Symmetry   P4/mmm
Formation energy from the elements   -624 meV per atom
VASP energy   -22.37 eV/atom

a b c (Å): 4.3433 4.3433 7.8495
angles (deg): 90.00 90.00 90.00
Positions (direct):
Ga 0.0000 0.5000 0.6710
Ga 0.5000 0.5000 0.1526
Ga 0.5000 0.5000 0.8474
Ga 0.0000 0.5000 0.3290
Ga 0.5000 0.0000 0.3290
Ga 0.5000 0.0000 0.6710
La 0.0000 0.0000 0.0000
Pd 0.0000 0.0000 0.5000

***

# 7
LaGa2Pd2 | SCAN | single point on PBEsol structure

Symmetry   I4/mmm
Formation energy from the elements   -857 meV per atom
Offset from the most stable computed form   70 meV per atom
VASP energy   -29.13 eV/atom

a b c (Å): 4.2572 4.2572 6.1089
angles (deg): 110.40 110.40 90.02
Positions (direct):
Ga 0.7499 0.2500 0.5000
Ga 0.2500 0.7499 0.5000
La 0.0000 0.0000 0.0000
Pd 0.6243 0.6243 0.2487
Pd 0.3757 0.3757 0.7513

***

# 8
LaPmGa2 | SCAN | single point on PBEsol structure

Symmetry   Fm-3m
Formation energy from the elements   -655 meV per atom
VASP energy   -30.60 eV/atom

a b c (Å): 5.1768 5.1768 5.1768
angles (deg): 60.00 60.00 60.00
Positions (direct):
Ga 0.2500 0.2500 0.2500
Ga 0.7500 0.7500 0.7500
La 0.0000 0.0000 0.0000
Pm 0.5000 0.5000 0.5000

***

# 9
LaGaPt | SCAN | single point on PBEsol structure

Symmetry   Pnma
Formation energy from the elements   -1236 meV per atom
VASP energy   -44.45 eV/atom

a b c (Å): 4.4941 7.1551 7.7771
angles (deg): 90.00 90.00 90.00
Positions (direct):
Pt 0.2500 0.2832 0.6010
Pt 0.7500 0.7168 0.3990
Pt 0.2500 0.7832 0.8990
Pt 0.7500 0.2168 0.1010
Ga 0.2500 0.1614 0.9255
Ga 0.7500 0.8386 0.0745
Ga 0.7500 0.3386 0.4255
Ga 0.2500 0.6614 0.5745
La 0.7500 0.4761 0.8064
La 0.2500 0.5239 0.1936
La 0.2500 0.0239 0.3064
La 0.7500 0.9761 0.6936

***

# 10
La2GaPt2 | SCAN | single point on PBEsol structure

Symmetry   P4/mbm
Formation energy from the elements   -1171 meV per atom
VASP energy   -49.76 eV/atom

a b c (Å): 3.9380 7.6185 7.6185
angles (deg): 90.00 90.00 90.00
Positions (direct):
Pt 0.0000 0.6312 0.1312
Pt 0.0000 0.3688 0.8688
Pt 0.0000 0.1312 0.3688
Pt 0.0000 0.8688 0.6312
La 0.5000 0.8245 0.3245
La 0.5000 0.3245 0.1755
La 0.5000 0.6755 0.8245
La 0.5000 0.1755 0.6755
Ga 0.0000 0.0000 0.0000
Ga 0.0000 0.5000 0.5000

***

# 11
RbLaGaRe2 | SCAN | single point on PBEsol structure

Symmetry   P4/mmm
Formation energy from the elements   1452 meV per atom
VASP energy   -43.03 eV/atom

a b c (Å): 4.7205 4.7205 5.3700
angles (deg): 90.00 90.00 90.00
Last column: magnetic moment on the atom in μB.
Positions (direct):
Re 0.0000 0.5000 0.0000  0.70
Re 0.5000 0.0000 0.0000  0.70
La 0.5000 0.5000 0.5000  -0.04
Rb 0.0000 0.0000 0.5000  -0.01
Ga 0.0000 0.0000 0.0000  0.02

***

# 12
RbLa2GaTc | SCAN | single point on PBEsol structure

Symmetry   P4/mmm
Formation energy from the elements   473 meV per atom
VASP energy   -31.20 eV/atom

a b c (Å): 5.2904 5.2904 5.6985
angles (deg): 90.00 90.00 90.00
Positions (direct):
Ga 0.5000 0.5000 0.5000
Rb 0.0000 0.0000 0.5000
Tc 0.0000 0.0000 0.0000
La 0.5000 0.0000 0.0000
La 0.0000 0.5000 0.0000